(1)
{
  "formula": "BaFeP2",
  "functional": "PBEsol",
  "state": "optimized geometry",
  "sg": "P4/mmm",
  "crystal_system": "tetragonal",
  "e_above_lowest_polymorph_ev_per_atom": 1.089,
  "ef_ev_per_atom": 0.4602,
  "cell": [[4.497, 0.000, 0.000], [0.000, 4.497, 0.000], [0.000, 0.000, 4.140]],
  "species": ["Ba", "Fe", "P", "P"],
  "frac_coords": [[0.000, 0.000, 0.000], [0.500, 0.500, 0.000], [0.000, 0.500, 0.500], [0.500, 0.000, 0.500]]
}

(2)
{
  "formula": "Zr3IrBr",
  "functional": "PBEsol",
  "state": "optimized geometry",
  "sg": "Pm-3m",
  "crystal_system": "cubic",
  "formation_energy_uncorrected_ev_per_atom": 0.550,
  "cell": [[4.785, 0.000, 0.000], [0.000, 4.785, 0.000], [0.000, 0.000, 4.785]],
  "species": ["Zr", "Zr", "Zr", "Ir", "Br"],
  "frac_coords": [[0.000, 0.000, 0.500], [0.000, 0.500, 0.000], [0.500, 0.000, 0.000], [0.500, 0.500, 0.500], [0.000, 0.000, 0.000]]
}

(3)
{
  "formula": "Sr4Cu2MoWO12",
  "functional": "PBEsol",
  "state": "optimized geometry",
  "sg": "P4/m",
  "crystal_system": "tetragonal",
  "formation_energy_uncorrected_ev_per_atom": -2.239,
  "cell": [[5.345, 0.000, 0.000], [0.000, 5.345, 0.000], [0.000, 0.000, 8.544]],
  "species": ["Sr", "Sr", "Sr", "Sr", "Cu", "Cu", "Mo", "W", "O", "O", "O", "O", "O", "O", "O", "O", "O", "O", "O", "O"],
  "frac_coords": [[0.000, 0.500, 0.248], [0.000, 0.500, 0.752], [0.500, 0.000, 0.248], [0.500, 0.000, 0.752], [0.000, 0.000, 0.000], [0.500, 0.500, 0.500], [0.500, 0.500, 0.000], [0.000, 0.000, 0.500], [0.000, 0.000, 0.274], [0.000, 0.000, 0.726], [0.195, 0.301, 0.500], [0.202, 0.698, 0.000], [0.301, 0.805, 0.500], [0.302, 0.202, 0.000], [0.500, 0.500, 0.224], [0.500, 0.500, 0.776], [0.698, 0.798, 0.000], [0.699, 0.195, 0.500], [0.798, 0.302, 0.000], [0.805, 0.699, 0.500]]
}

(4)
{
  "formula": "Ca2CdAs2",
  "functional": "PBEsol",
  "state": "optimized geometry",
  "sg": "Cm",
  "crystal_system": "monoclinic",
  "ef_ev_per_atom": -0.9462,
  "cell": [[10.596, -2.138, 0.000], [10.596, 2.138, 0.000], [-4.846, 0.000, 13.366]],
  "species": ["Ca", "Ca", "Ca", "Ca", "Ca", "Ca", "Ca", "Ca", "Ca", "Ca", "Cd", "Cd", "Cd", "Cd", "Cd", "As", "As", "As", "As", "As", "As", "As", "As", "As", "As"],
  "frac_coords": [[0.000, 0.000, 0.000], [0.011, 0.011, 0.245], [0.136, 0.136, 0.494], [0.278, 0.278, 0.382], [0.306, 0.306, 0.651], [0.680, 0.680, 0.092], [0.712, 0.712, 0.816], [0.840, 0.840, 0.073], [0.942, 0.942, 0.457], [0.970, 0.970, 0.729], [0.117, 0.117, 0.881], [0.350, 0.350, 0.912], [0.397, 0.397, 0.262], [0.551, 0.551, 0.608], [0.643, 0.643, 0.318], [0.124, 0.124, 0.690], [0.135, 0.135, 0.203], [0.244, 0.244, 0.988], [0.419, 0.419, 0.579], [0.444, 0.444, 0.101], [0.531, 0.531, 0.398], [0.547, 0.547, 0.899], [0.736, 0.736, 0.502], [0.825, 0.825, 0.269], [0.854, 0.854, 0.808]]
}

(5)
{
  "formula": "CdSnP2",
  "functional": "PBEsol",
  "state": "optimized geometry",
  "sg": "I-42d",
  "crystal_system": "tetragonal",
  "ef_ev_per_atom": -0.0653,
  "cell": [[5.886, 0.000, 0.000], [0.000, 5.886, 0.000], [0.000, 0.000, 11.543]],
  "species": ["Cd", "Cd", "Cd", "Cd", "Sn", "Sn", "Sn", "Sn", "P", "P", "P", "P", "P", "P", "P", "P"],
  "frac_coords": [[0.000, 0.000, 0.000], [0.000, 0.500, 0.250], [0.500, 0.000, 0.750], [0.500, 0.500, 0.500], [0.000, 0.000, 0.500], [0.000, 0.500, 0.750], [0.500, 0.000, 0.250], [0.500, 0.500, 0.000], [0.245, 0.250, 0.625], [0.250, 0.745, 0.875], [0.250, 0.755, 0.375], [0.255, 0.250, 0.125], [0.745, 0.750, 0.125], [0.750, 0.245, 0.375], [0.750, 0.255, 0.875], [0.755, 0.750, 0.625]]
}

(6)
{
  "formula": "InAgCl2",
  "functional": "PBEsol",
  "state": "optimized geometry",
  "sg": "P4/mmm",
  "crystal_system": "tetragonal",
  "formation_energy_uncorrected_ev_per_atom": -0.400,
  "cell": [[5.012, 0.000, 0.000], [0.000, 5.012, 0.000], [0.000, 0.000, 3.482]],
  "species": ["In", "Ag", "Cl", "Cl"],
  "frac_coords": [[0.000, 0.000, 0.000], [0.500, 0.500, 0.000], [0.000, 0.500, 0.500], [0.500, 0.000, 0.500]]
}

(7)
{
  "formula": "CrCo2Rh",
  "functional": "PBEsol",
  "state": "optimized geometry",
  "sg": "Pmm2",
  "crystal_system": "orthorhombic",
  "ef_ev_per_atom": 0.0214,
  "cell": [[2.553, 0.000, 0.000], [0.000, 3.480, 0.000], [0.000, 0.000, 5.079]],
  "species": ["Cr", "Co", "Co", "Rh"],
  "frac_coords": [[0.000, 0.000, 0.000], [0.000, 0.000, 0.543], [0.500, 0.500, 0.762], [0.500, 0.500, 0.266]]
}

(8)
{
  "formula": "SnOsPd3",
  "functional": "PBEsol",
  "state": "optimized geometry",
  "sg": "Pm-3m",
  "crystal_system": "cubic",
  "ef_ev_per_atom": 1.1513,
  "cell": [[4.759, 0.000, 0.000], [0.000, 4.759, 0.000], [0.000, 0.000, 4.759]],
  "species": ["Sn", "Os", "Pd", "Pd", "Pd"],
  "frac_coords": [[0.000, 0.000, 0.000], [0.500, 0.500, 0.500], [0.000, 0.500, 0.500], [0.500, 0.000, 0.500], [0.500, 0.500, 0.000]]
}

(9)
{
  "formula": "GdYO2",
  "functional": "PBEsol",
  "state": "optimized geometry",
  "sg": "P6_3/mmc",
  "crystal_system": "hexagonal",
  "formation_energy_uncorrected_ev_per_atom": -2.920,
  "cell": [[3.564, 0.000, 0.000], [-1.782, 3.086, 0.000], [0.000, 0.000, 12.945]],
  "species": ["Gd", "Gd", "Y", "Y", "O", "O", "O", "O"],
  "frac_coords": [[0.333, 0.667, 0.250], [0.667, 0.333, 0.750], [0.000, 0.000, 0.000], [0.000, 0.000, 0.500], [0.333, 0.667, 0.080], [0.333, 0.667, 0.420], [0.667, 0.333, 0.580], [0.667, 0.333, 0.920]]
}

(10)
{
  "formula": "Te2WCl6",
  "functional": "PBEsol",
  "state": "optimized geometry",
  "sg": "P2_1/c",
  "crystal_system": "monoclinic",
  "formation_energy_uncorrected_ev_per_atom": -0.626,
  "e_above_lowest_polymorph_ev_per_atom": 0.000,
  "cell": [[6.406, 0.000, 0.000], [0.000, 12.837, 0.000], [-1.596, 0.000, 13.051]],
  "species": ["Te", "Te", "Te", "Te", "Te", "Te", "Te", "Te", "W", "W", "W", "W", "Cl", "Cl", "Cl", "Cl", "Cl", "Cl", "Cl", "Cl", "Cl", "Cl", "Cl", "Cl", "Cl", "Cl", "Cl", "Cl", "Cl", "Cl", "Cl", "Cl", "Cl", "Cl", "Cl", "Cl"],
  "frac_coords": [[0.170, 0.126, 0.004], [0.170, 0.374, 0.504], [0.209, 0.565, 0.597], [0.209, 0.935, 0.097], [0.791, 0.065, 0.903], [0.791, 0.435, 0.403], [0.830, 0.626, 0.496], [0.830, 0.874, 0.996], [0.416, 0.626, 0.158], [0.416, 0.874, 0.658], [0.584, 0.126, 0.342], [0.584, 0.374, 0.842], [0.104, 0.721, 0.173], [0.104, 0.779, 0.673], [0.218, 0.015, 0.604], [0.218, 0.485, 0.104], [0.280, 0.036, 0.344], [0.280, 0.464, 0.844], [0.401, 0.226, 0.781], [0.401, 0.274, 0.281], [0.405, 0.574, 0.330], [0.405, 0.926, 0.830], [0.414, 0.687, 0.994], [0.414, 0.813, 0.494], [0.586, 0.187, 0.506], [0.586, 0.313, 0.006], [0.595, 0.074, 0.170], [0.595, 0.426, 0.670], [0.599, 0.726, 0.719], [0.599, 0.774, 0.219], [0.720, 0.536, 0.156], [0.720, 0.964, 0.656], [0.782, 0.515, 0.896], [0.782, 0.985, 0.396], [0.896, 0.221, 0.327], [0.896, 0.279, 0.827]]
}

(11)
{
  "formula": "KScW2O8",
  "functional": "PBEsol",
  "state": "optimized geometry",
  "sg": "C2/c",
  "crystal_system": "monoclinic",
  "formation_energy_uncorrected_ev_per_atom": -2.500,
  "cell": [[5.378, -5.021, 0.000], [5.378, 5.021, 0.000], [-4.807, 0.000, 5.522]],
  "species": ["K", "K", "Sc", "Sc", "W", "W", "W", "W", "O", "O", "O", "O", "O", "O", "O", "O", "O", "O", "O", "O", "O", "O", "O", "O"],
  "frac_coords": [[0.204, 0.796, 0.750], [0.796, 0.204, 0.250], [0.225, 0.775, 0.250], [0.775, 0.225, 0.750], [0.300, 0.302, 0.278], [0.302, 0.300, 0.778], [0.698, 0.700, 0.222], [0.700, 0.698, 0.722], [0.033, 0.242, 0.704], [0.042, 0.342, 0.104], [0.238, 0.382, 0.556], [0.242, 0.033, 0.204], [0.342, 0.042, 0.604], [0.374, 0.604, 0.049], [0.382, 0.238, 0.056], [0.396, 0.626, 0.451], [0.604, 0.374, 0.549], [0.618, 0.762, 0.944], [0.626, 0.396, 0.951], [0.658, 0.958, 0.396], [0.758, 0.967, 0.796], [0.762, 0.618, 0.444], [0.958, 0.658, 0.896], [0.967, 0.758, 0.296]]
}

(12)
{
  "formula": "Sb2MoRu",
  "functional": "PBEsol",
  "state": "optimized geometry",
  "sg": "I-4m2",
  "crystal_system": "tetragonal",
  "formation_energy_uncorrected_ev_per_atom": 0.434,
  "e_above_lowest_polymorph_ev_per_atom": 0.297,
  "cell": [[3.841, 0.000, 0.000], [0.000, 3.841, 0.000], [0.000, 0.000, 9.712]],
  "species": ["Sb", "Sb", "Sb", "Sb", "Mo", "Mo", "Ru", "Ru"],
  "frac_coords": [[0.000, 0.000, 0.000], [0.000, 0.500, 0.250], [0.500, 0.000, 0.750], [0.500, 0.500, 0.500], [0.000, 0.000, 0.500], [0.500, 0.500, 0.000], [0.000, 0.500, 0.750], [0.500, 0.000, 0.250]]
}

(13)
{
  "formula": "RbBiP2S",
  "functional": "PBEsol",
  "state": "optimized geometry",
  "sg": "P4/mmm",
  "crystal_system": "tetragonal",
  "formation_energy_uncorrected_ev_per_atom": 0.509,
  "cell": [[5.325, 0.000, 0.000], [0.000, 5.325, 0.000], [0.000, 0.000, 5.408]],
  "species": ["Rb", "Bi", "P", "P", "S"],
  "frac_coords": [[0.000, 0.000, 0.000], [0.500, 0.500, 0.500], [0.000, 0.500, 0.500], [0.500, 0.000, 0.500], [0.500, 0.500, 0.000]]
}

(14)
{
  "formula": "Re2IrC2",
  "functional": "PBEsol",
  "state": "optimized geometry",
  "sg": "I4/mmm",
  "crystal_system": "tetragonal",
  "ef_ev_per_atom": 0.8789,
  "cell": [[3.682, 0.000, 0.000], [0.000, 3.682, 0.000], [0.000, 0.000, 8.617]],
  "species": ["Re", "Re", "Re", "Re", "Ir", "Ir", "C", "C", "C", "C"],
  "frac_coords": [[0.000, 0.000, 0.143], [0.000, 0.000, 0.857], [0.500, 0.500, 0.357], [0.500, 0.500, 0.643], [0.000, 0.000, 0.500], [0.500, 0.500, 0.000], [0.000, 0.500, 0.250], [0.000, 0.500, 0.750], [0.500, 0.000, 0.250], [0.500, 0.000, 0.750]]
}

(15)
{
  "formula": "Y3Co2",
  "functional": "PBEsol",
  "state": "optimized geometry",
  "sg": "P-3m1",
  "crystal_system": "trigonal",
  "e_above_lowest_polymorph_ev_per_atom": 0.085,
  "ef_ev_per_atom": -0.0843,
  "cell": [[4.582, 0.000, 0.000], [-2.291, 3.968, 0.000], [0.000, 0.000, 5.756]],
  "species": ["Y", "Y", "Y", "Co", "Co"],
  "frac_coords": [[0.000, 0.000, 0.000], [0.333, 0.667, 0.333], [0.667, 0.333, 0.667], [0.333, 0.667, 0.845], [0.667, 0.333, 0.155]]
}

(16)
{
  "formula": "PSeICl2",
  "functional": "PBEsol",
  "state": "optimized geometry",
  "sg": "P4/mmm",
  "crystal_system": "tetragonal",
  "formation_energy_uncorrected_ev_per_atom": 0.330,
  "cell": [[4.742, 0.000, 0.000], [0.000, 4.742, 0.000], [0.000, 0.000, 5.401]],
  "species": ["P", "Se", "I", "Cl", "Cl"],
  "frac_coords": [[0.000, 0.000, 0.000], [0.000, 0.000, 0.500], [0.500, 0.500, 0.000], [0.000, 0.500, 0.500], [0.500, 0.000, 0.500]]
}

(17)
{
  "formula": "Mg4As6Ir7",
  "functional": "PBEsol",
  "state": "optimized geometry",
  "sg": "Im-3m",
  "crystal_system": "cubic",
  "ef_ev_per_atom": -0.4527,
  "cell": [[-4.049, 4.049, 4.049], [4.049, -4.049, 4.049], [4.049, 4.049, -4.049]],
  "species": ["Mg", "Mg", "Mg", "Mg", "As", "As", "As", "As", "As", "As", "Ir", "Ir", "Ir", "Ir", "Ir", "Ir", "Ir"],
  "frac_coords": [[0.000, 0.000, 0.500], [0.000, 0.500, 0.000], [0.500, 0.000, 0.000], [0.500, 0.500, 0.500], [0.000, 0.313, 0.313], [0.000, 0.687, 0.687], [0.313, 0.000, 0.313], [0.313, 0.313, 0.000], [0.687, 0.000, 0.687], [0.687, 0.687, 0.000], [0.000, 0.000, 0.000], [0.250, 0.500, 0.750], [0.250, 0.750, 0.500], [0.500, 0.250, 0.750], [0.500, 0.750, 0.250], [0.750, 0.250, 0.500], [0.750, 0.500, 0.250]]
}

(18)
{
  "formula": "Pr3MoO7",
  "functional": "PBEsol",
  "state": "optimized geometry",
  "sg": "P2_12_12_1",
  "crystal_system": "orthorhombic",
  "formation_energy_uncorrected_ev_per_atom": -2.981,
  "cell": [[7.567, 0.000, 0.000], [0.000, 7.587, 0.000], [0.000, 0.000, 10.908]],
  "species": ["Pr", "Pr", "Pr", "Pr", "Pr", "Pr", "Pr", "Pr", "Pr", "Pr", "Pr", "Pr", "Mo", "Mo", "Mo", "Mo", "O", "O", "O", "O", "O", "O", "O", "O", "O", "O", "O", "O", "O", "O", "O", "O", "O", "O", "O", "O", "O", "O", "O", "O", "O", "O", "O", "O"],
  "frac_coords": [[0.002, 0.059, 0.270], [0.003, 0.547, 0.782], [0.240, 0.713, 0.506], [0.260, 0.287, 0.006], [0.497, 0.453, 0.282], [0.498, 0.941, 0.770], [0.502, 0.441, 0.730], [0.503, 0.953, 0.218], [0.740, 0.787, 0.494], [0.760, 0.213, 0.994], [0.997, 0.047, 0.718], [0.998, 0.559, 0.230], [0.247, 0.754, 0.999], [0.253, 0.246, 0.499], [0.747, 0.746, 0.001], [0.753, 0.254, 0.501], [0.003, 0.193, 0.491], [0.004, 0.789, 0.368], [0.013, 0.261, 0.868], [0.202, 0.885, 0.856], [0.215, 0.432, 0.624], [0.215, 0.458, 0.379], [0.217, 0.943, 0.118], [0.283, 0.057, 0.618], [0.285, 0.542, 0.879], [0.285, 0.568, 0.124], [0.298, 0.115, 0.356], [0.487, 0.739, 0.368], [0.496, 0.211, 0.868], [0.497, 0.807, 0.991], [0.503, 0.307, 0.509], [0.504, 0.711, 0.632], [0.513, 0.239, 0.132], [0.702, 0.615, 0.144], [0.715, 0.042, 0.621], [0.715, 0.068, 0.376], [0.717, 0.557, 0.882], [0.783, 0.443, 0.382], [0.785, 0.932, 0.876], [0.785, 0.958, 0.121], [0.798, 0.385, 0.644], [0.987, 0.761, 0.632], [0.996, 0.289, 0.132], [0.997, 0.693, 0.009]]
}

(19)
{
  "formula": "Ca2ZnPb",
  "functional": "PBEsol",
  "state": "optimized geometry",
  "sg": "Fm-3m",
  "crystal_system": "cubic",
  "ef_ev_per_atom": -0.4534,
  "cell": [[7.488, 0.000, 0.000], [0.000, 7.488, 0.000], [0.000, 0.000, 7.488]],
  "species": ["Ca", "Ca", "Ca", "Ca", "Ca", "Ca", "Ca", "Ca", "Zn", "Zn", "Zn", "Zn", "Pb", "Pb", "Pb", "Pb"],
  "frac_coords": [[0.250, 0.250, 0.250], [0.250, 0.250, 0.750], [0.250, 0.750, 0.250], [0.250, 0.750, 0.750], [0.750, 0.250, 0.250], [0.750, 0.250, 0.750], [0.750, 0.750, 0.250], [0.750, 0.750, 0.750], [0.000, 0.000, 0.000], [0.000, 0.500, 0.500], [0.500, 0.000, 0.500], [0.500, 0.500, 0.000], [0.000, 0.000, 0.500], [0.000, 0.500, 0.000], [0.500, 0.000, 0.000], [0.500, 0.500, 0.500]]
}

(20)
{
  "formula": "Pb2WBr",
  "functional": "PBEsol",
  "state": "optimized geometry",
  "sg": "I-4m2",
  "crystal_system": "tetragonal",
  "formation_energy_uncorrected_ev_per_atom": 1.095,
  "e_above_lowest_polymorph_ev_per_atom": 0.530,
  "cell": [[4.171, 0.000, 0.000], [0.000, 4.171, 0.000], [0.000, 0.000, 11.720]],
  "species": ["Pb", "Pb", "Pb", "Pb", "W", "W", "Br", "Br"],
  "frac_coords": [[0.000, 0.000, 0.000], [0.000, 0.500, 0.250], [0.500, 0.000, 0.750], [0.500, 0.500, 0.500], [0.000, 0.000, 0.500], [0.500, 0.500, 0.000], [0.000, 0.500, 0.750], [0.500, 0.000, 0.250]]
}

(21)
{
  "formula": "CoNi2Sb",
  "functional": "PBEsol",
  "state": "optimized geometry",
  "sg": "R-3m",
  "crystal_system": "trigonal",
  "formation_energy_uncorrected_ev_per_atom": 0.451,
  "cell": [[2.926, 0.000, 0.000], [-1.463, 2.534, 0.000], [0.000, 0.000, 22.513]],
  "species": ["Co", "Co", "Co", "Ni", "Ni", "Ni", "Ni", "Ni", "Ni", "Sb", "Sb", "Sb"],
  "frac_coords": [[0.000, 0.000, 0.000], [0.333, 0.667, 0.667], [0.667, 0.333, 0.333], [0.000, 0.000, 0.255], [0.000, 0.000, 0.745], [0.333, 0.667, 0.412], [0.333, 0.667, 0.922], [0.667, 0.333, 0.078], [0.667, 0.333, 0.588], [0.000, 0.000, 0.500], [0.333, 0.667, 0.167], [0.667, 0.333, 0.833]]
}

no.,mass density (g cm⁻³)
1,5.061
2,8.271
3,6.458
4,4.695
5,4.868
6,5.574
7,10.039
8,9.681
9,6.488
10,4.034
11,6.456
12,10.209
13,4.207
14,16.731
15,6.103
16,4.207
17,11.835
18,6.689
19,5.580
20,11.044
21,8.893